Entry 1:
First-principles (PBE) data for a geometry-optimized HoNbFe structure, as listed in Alexandria via LeMat-Bulk.

The space group is Fmmm (No. 69) and the conventional cell measures 5.5962, 8.4171 and 9.5333 Å, with angles of 90.00, 90.00 and 90.00 degrees. The asymmetric unit holds Ho at (0.0000, 0.1776, 0.0000), Nb at (0.0000, 0.0000, 0.3235) and Fe at (0.2500, 0.2500, 0.2500).

As for the theoretical density: 9.28 g cm⁻³. The uncorrected energy is -7.61 eV/atom.



Entry 2:
First-principles (PBE) data for a geometry-optimized HoNb3Fe8 structure, as listed in Alexandria via LeMat-Bulk.

The space group is P3m1 (No. 156) and the conventional cell measures 4.9023, 4.9023 and 8.0166 Å, with angles of 90.00, 90.00 and 120.00 degrees. The asymmetric unit holds Ho at (0.0000, 0.0000, 0.0000), Nb at (0.0000, 0.0000, 0.3842), Nb at (0.6667, 0.3333, 0.4958), Nb at (0.6667, 0.3333, 0.8628), Fe at (0.1660, 0.3319, 0.6813), Fe at (0.3333, 0.6667, 0.4378), Fe at (0.3333, 0.6667, 0.9349) and Fe at (0.5018, 0.0036, 0.1928).

As for the theoretical density: 8.86 g cm⁻³. The uncorrected energy is -8.63 eV/atom.



Entry 3:
First-principles (PBE) data for a geometry-optimized Ho3NbFe8 structure, as listed in Alexandria via LeMat-Bulk.

The space group is R3m (No. 160, hexagonal axes) and the conventional cell measures 5.0464, 5.0464 and 24.7334 Å, with angles of 90.00, 90.00 and 120.00 degrees. The asymmetric unit holds Ho at (0.0000, 0.0000, 0.0000), Ho at (0.0000, 0.0000, 0.1257), Ho at (0.0000, 0.0000, 0.5018), Nb at (0.0000, 0.0000, 0.6258), Fe at (0.0000, 0.0000, 0.3129), Fe at (0.0000, 0.0000, 0.8131), Fe at (0.0015, 0.5007, 0.5656) and Fe at (0.1681, 0.3361, 0.3940).

As for the theoretical density: 9.45 g cm⁻³. The uncorrected energy is -7.72 eV/atom.



Entry 4:
First-principles (PBE) data for a geometry-optimized HoNbFeOs structure, as listed in Alexandria via LeMat-Bulk.

The space group is F-43m (No. 216) and the conventional cell measures 6.4751, 6.4751 and 6.4751 Å, with angles of 90.00, 90.00 and 90.00 degrees. The asymmetric unit holds Ho at (0.0000, 0.0000, 0.0000), Nb at (0.0000, 0.0000, 0.5000), Fe at (0.2500, 0.2500, 0.7500) and Os at (0.2500, 0.2500, 0.2500).

As for the theoretical density: 12.33 g cm⁻³. The uncorrected energy is -8.63 eV/atom.



Entry 5:
First-principles (PBE) data for a geometry-optimized HoNbFeRu structure, as listed in Alexandria via LeMat-Bulk.

The space group is F-43m (No. 216) and the conventional cell measures 6.4482, 6.4482 and 6.4482 Å, with angles of 90.00, 90.00 and 90.00 degrees. The asymmetric unit holds Ho at (0.0000, 0.0000, 0.0000), Nb at (0.0000, 0.0000, 0.5000), Fe at (0.2500, 0.2500, 0.2500) and Ru at (0.2500, 0.2500, 0.7500).

As for the theoretical density: 10.27 g cm⁻³. The uncorrected energy is -8.19 eV/atom.



Entry 6:
First-principles (PBE) data for a geometry-optimized NdHoFe10 structure, as listed in Alexandria via LeMat-Bulk.

The space group is Pmmm (No. 47) and the conventional cell measures 3.9491, 5.0493 and 8.7176 Å, with angles of 90.00, 90.00 and 90.00 degrees. The asymmetric unit holds Nd at (0.0000, 0.0000, 0.0000), Ho at (0.0000, 0.5000, 0.5000), Fe at (0.0000, 0.0000, 0.3373), Fe at (0.0000, 0.5000, 0.1707), Fe at (0.5000, 0.0000, 0.5000), Fe at (0.5000, 0.2524, 0.2549) and Fe at (0.5000, 0.5000, 0.0000).

As for the theoretical density: 8.29 g cm⁻³. The uncorrected energy is -7.84 eV/atom.



Entry 7:
First-principles (PBE) data for a geometry-optimized NdHo3Fe8 structure, as listed in Alexandria via LeMat-Bulk.

The space group is R3m (No. 160, hexagonal axes) and the conventional cell measures 5.1566, 5.1566 and 25.2631 Å, with angles of 90.00, 90.00 and 120.00 degrees. The asymmetric unit holds Nd at (0.0000, 0.0000, 0.0000), Ho at (0.0000, 0.0000, 0.3755), Ho at (0.0000, 0.0000, 0.5000), Ho at (0.0000, 0.0000, 0.8746), Fe at (0.0000, 0.0000, 0.1870), Fe at (0.0000, 0.0000, 0.6884), Fe at (0.0023, 0.5011, 0.4389) and Fe at (0.1674, 0.3348, 0.2695).

As for the theoretical density: 9.30 g cm⁻³. The uncorrected energy is -7.24 eV/atom.



Entry 8:
First-principles (PBE) data for a geometry-optimized Nd2HoFe9 structure, as listed in Alexandria via LeMat-Bulk.

The space group is R-3m (No. 166, hexagonal axes) and the conventional cell measures 5.1443, 5.1443 and 24.8092 Å, with angles of 90.00, 90.00 and 120.00 degrees. The asymmetric unit holds Nd at (0.0000, 0.0000, 0.1411), Ho at (0.0000, 0.0000, 0.0000), Fe at (0.0000, 0.0000, 0.3328), Fe at (0.0000, 0.0000, 0.5000) and Fe at (0.0034, 0.5017, 0.0791).

As for the theoretical density: 8.38 g cm⁻³. The uncorrected energy is -7.52 eV/atom.